! K5RbAg (PBE-GGA, relaxed); values from VASP
&SYSTEM
  ibrav = 0, nat = 14, ntyp = 3
/
ATOMIC_SPECIES
K 39.10 K.upf
Rb 85.47 Rb.upf
Ag 107.87 Ag.upf
CELL_PARAMETERS angstrom
5.970 -6.444 0.000
5.970 6.444 0.000
-2.308 0.000 12.218
ATOMIC_POSITIONS angstrom
K 4.239 5.165 9.163
K 3.660 3.478 4.654
K 0.834 1.125 12.074
K 1.988 -1.125 5.965
K 7.126 3.478 1.455
K 2.506 -3.478 10.763
K 7.643 1.125 6.253
K 8.797 -1.125 0.144
K 5.972 -3.478 7.564
K 5.393 -5.165 3.054
Rb 4.239 0.822 9.163
Rb 5.393 -0.822 3.054
Ag 0.000 0.000 0.000
Ag -1.154 0.000 6.109
! Energy relative to the elements = 50 meV/atom
! Spin magnetization = 0.0 μB per formula unit


! KRb8Ag2 (PBE-GGA, relaxed); values from VASP
&SYSTEM
  ibrav = 0, nat = 11, ntyp = 3
/
ATOMIC_SPECIES
K 39.10 K.upf
Rb 85.47 Rb.upf
Ag 107.87 Ag.upf
CELL_PARAMETERS angstrom
8.352 -7.223 0.000
8.352 7.223 0.000
-2.957 0.000 6.391
ATOMIC_POSITIONS angstrom
K 0.000 0.000 0.000
Rb 4.361 2.379 2.024
Rb 0.887 0.000 4.298
Rb 8.352 2.926 0.000
Rb 4.361 -2.379 2.024
Rb 9.386 2.379 4.367
Rb 8.352 -2.926 0.000
Rb 12.860 0.000 2.093
Rb 9.386 -2.379 4.367
Ag 6.874 4.720 3.195
Ag 6.874 -4.720 3.195
! Energy relative to the elements = 69 meV/atom
! Spin magnetization = 0.0 μB per formula unit


! K2RbAg2 (PBE-GGA, relaxed); values from VASP
&SYSTEM
  ibrav = 0, nat = 10, ntyp = 3
/
ATOMIC_SPECIES
K 39.10 K.upf
Rb 85.47 Rb.upf
Ag 107.87 Ag.upf
CELL_PARAMETERS angstrom
9.970 0.000 0.000
0.000 9.970 0.000
0.000 0.000 4.024
ATOMIC_POSITIONS angstrom
K 1.299 3.686 0.000
K 3.686 8.671 0.000
K 6.284 1.299 0.000
K 8.671 6.284 0.000
Rb 0.000 0.000 0.000
Rb 4.985 4.985 0.000
Ag 1.665 6.650 2.012
Ag 3.320 1.665 2.012
Ag 6.650 8.305 2.012
Ag 8.305 3.320 2.012
! Relative energy among the computed polymorphs = 0.032 eV per atom
! Energy relative to the elements = 81 meV/atom
! Spin magnetization = 0.0 μB per formula unit


! K3RbAg3 (PBE-GGA, relaxed); values from VASP
&SYSTEM
  ibrav = 0, nat = 14, ntyp = 3
/
ATOMIC_SPECIES
K 39.10 K.upf
Rb 85.47 Rb.upf
Ag 107.87 Ag.upf
CELL_PARAMETERS angstrom
9.334 0.000 0.000
0.000 9.334 0.000
0.000 0.000 9.334
ATOMIC_POSITIONS angstrom
K 0.000 2.334 4.667
K 0.000 7.001 4.667
K 2.334 4.667 0.000
K 4.667 0.000 2.334
K 4.667 0.000 7.001
K 7.001 4.667 0.000
Rb 0.000 0.000 0.000
Rb 4.667 4.667 4.667
Ag 0.000 4.667 2.334
Ag 0.000 4.667 7.001
Ag 2.334 0.000 4.667
Ag 4.667 2.334 0.000
Ag 4.667 7.001 0.000
Ag 7.001 0.000 4.667
! Energy relative to the elements = 218 meV/atom
! Spin magnetization = 0.0 μB per formula unit


! KRb3Ag2 (PBE-GGA, relaxed); values from VASP
&SYSTEM
  ibrav = 0, nat = 12, ntyp = 3
/
ATOMIC_SPECIES
K 39.10 K.upf
Rb 85.47 Rb.upf
Ag 107.87 Ag.upf
CELL_PARAMETERS angstrom
10.695 -2.473 0.000
10.695 2.473 0.000
-7.201 0.000 12.333
ATOMIC_POSITIONS angstrom
K 1.840 0.000 3.186
K 12.349 0.000 9.147
Rb -1.906 0.000 9.215
Rb 8.416 0.000 0.611
Rb 4.759 0.000 6.975
Rb 9.429 0.000 5.358
Rb 5.772 0.000 11.722
Rb 16.095 0.000 3.118
Ag 4.792 0.000 0.494
Ag 1.191 0.000 6.652
Ag 12.998 0.000 5.681
Ag 9.397 0.000 11.840
! Energy relative to the elements = 22 meV/atom
! Spin magnetization = 0.0 μB per formula unit


! KRb14Ag (PBE-GGA, relaxed); values from VASP
&SYSTEM
  ibrav = 0, nat = 16, ntyp = 3
/
ATOMIC_SPECIES
K 39.10 K.upf
Rb 85.47 Rb.upf
Ag 107.87 Ag.upf
CELL_PARAMETERS angstrom
13.905 0.000 0.000
0.000 6.122 7.862
0.000 -6.122 7.862
ATOMIC_POSITIONS angstrom
K 0.000 0.000 0.000
Rb 0.000 -2.795 3.904
Rb 0.000 2.795 3.904
Rb 2.611 -2.260 7.933
Rb 2.611 2.260 7.933
Rb 3.031 0.000 12.212
Rb 3.748 0.000 3.237
Rb 6.953 0.000 6.976
Rb 6.953 -2.580 11.110
Rb 6.953 2.580 11.110
Rb 6.953 0.000 15.308
Rb 10.157 0.000 3.237
Rb 10.874 0.000 12.212
Rb 11.294 -2.260 7.933
Rb 11.294 2.260 7.933
Ag 0.000 0.000 9.859
! Energy relative to the elements = 32 meV/atom
! Spin magnetization = 0.0 μB per formula unit


! K6Rb3Ag2 (PBE-GGA, relaxed); values from VASP
&SYSTEM
  ibrav = 0, nat = 11, ntyp = 3
/
ATOMIC_SPECIES
K 39.10 K.upf
Rb 85.47 Rb.upf
Ag 107.87 Ag.upf
CELL_PARAMETERS angstrom
-3.025 3.025 18.826
3.025 -3.025 18.826
3.025 3.025 -18.826
ATOMIC_POSITIONS angstrom
K 3.025 0.000 3.206
K 0.000 0.000 6.382
K 3.025 0.000 15.620
K 0.000 3.025 3.206
K 0.000 0.000 31.269
K 0.000 3.025 15.620
Rb 0.000 0.000 11.022
Rb 0.000 0.000 18.826
Rb 0.000 0.000 26.629
Ag 0.000 0.000 1.391
Ag 0.000 0.000 36.260
! Energy relative to the elements = 72 meV/atom
! Spin magnetization = 0.0 μB per formula unit


! KRbAg10 (PBE-GGA, relaxed); values from VASP
&SYSTEM
  ibrav = 0, nat = 12, ntyp = 3
/
ATOMIC_SPECIES
K 39.10 K.upf
Rb 85.47 Rb.upf
Ag 107.87 Ag.upf
CELL_PARAMETERS angstrom
4.609 0.000 0.000
0.000 5.861 0.000
0.000 0.000 10.235
ATOMIC_POSITIONS angstrom
K 0.000 0.000 0.000
Rb 0.000 2.931 5.118
Ag 0.000 0.000 3.375
Ag 0.000 0.000 6.860
Ag 0.000 2.931 1.672
Ag 0.000 2.931 8.563
Ag 2.304 0.000 5.118
Ag 2.304 1.457 2.529
Ag 2.304 1.457 7.706
Ag 2.304 2.931 0.000
Ag 2.304 4.404 2.529
Ag 2.304 4.404 7.706
! Energy relative to the elements = 18 meV/atom
! Spin magnetization = 0.0 μB per formula unit


! K12Rb7Ag (PBE-GGA, relaxed); values from VASP
&SYSTEM
  ibrav = 0, nat = 20, ntyp = 3
/
ATOMIC_SPECIES
K 39.10 K.upf
Rb 85.47 Rb.upf
Ag 107.87 Ag.upf
CELL_PARAMETERS angstrom
12.744 7.358 2.732
-12.744 7.358 2.732
0.000 -14.715 2.732
ATOMIC_POSITIONS angstrom
K -5.209 -5.692 2.732
K -7.534 -1.665 2.732
K 0.000 -5.284 1.367
K -4.576 2.642 1.367
K 4.576 2.642 1.367
K 5.209 -5.692 2.732
K -2.325 7.358 2.732
K 7.534 -1.665 2.732
K 2.325 7.358 2.732
K -4.576 -2.642 6.830
K 4.576 -2.642 6.830
K 0.000 5.284 6.830
Rb 0.000 0.000 0.000
Rb -2.937 -1.696 2.651
Rb 2.937 -1.696 2.651
Rb 0.000 3.392 2.651
Rb 0.000 -3.392 5.546
Rb -2.937 1.696 5.546
Rb 2.937 1.696 5.546
Ag 0.000 0.000 4.099
! Energy relative to the elements = 60 meV/atom
! Spin magnetization = 0.0 μB per formula unit


! K5Rb4Ag2 (PBE-GGA, relaxed); values from VASP
&SYSTEM
  ibrav = 0, nat = 11, ntyp = 3
/
ATOMIC_SPECIES
K 39.10 K.upf
Rb 85.47 Rb.upf
Ag 107.87 Ag.upf
CELL_PARAMETERS angstrom
11.645 0.000 0.000
0.000 4.778 0.000
-0.891 0.000 12.647
ATOMIC_POSITIONS angstrom
K 0.000 0.000 0.000
K -0.092 0.000 4.208
K 3.281 0.000 10.723
K 7.473 0.000 1.924
K 10.846 0.000 8.438
Rb 3.138 2.389 6.797
Rb 3.690 2.389 2.389
Rb 7.064 2.389 10.258
Rb 7.616 2.389 5.850
Ag 5.135 0.000 4.875
Ag 5.619 0.000 7.772
! Energy relative to the elements = 41 meV/atom
! Spin magnetization = 0.0 μB per formula unit


! K6Rb9Ag (PBE-GGA, relaxed); values from VASP
&SYSTEM
  ibrav = 0, nat = 16, ntyp = 3
/
ATOMIC_SPECIES
K 39.10 K.upf
Rb 85.47 Rb.upf
Ag 107.87 Ag.upf
CELL_PARAMETERS angstrom
-5.623 5.623 9.872
5.623 -5.623 9.872
5.623 5.623 -9.872
ATOMIC_POSITIONS angstrom
K 7.966 1.057 0.000
K 0.000 0.000 3.411
K 1.057 3.279 0.000
K 4.566 2.344 9.872
K 0.000 0.000 16.332
K -2.344 4.566 9.872
Rb 4.404 2.192 -3.187
Rb 3.431 -1.219 6.685
Rb 4.404 2.192 3.187
Rb 2.192 6.841 -3.187
Rb 0.000 0.000 9.872
Rb 3.431 -1.219 13.059
Rb 1.219 3.431 6.685
Rb 2.192 6.841 3.187
Rb 1.219 3.431 13.059
Ag 0.000 0.000 0.000
! Energy relative to the elements = 19 meV/atom
! Spin magnetization = 0.0 μB per formula unit


! K4RbAg (PBE-GGA, relaxed); values from VASP
&SYSTEM
  ibrav = 0, nat = 12, ntyp = 3
/
ATOMIC_SPECIES
K 39.10 K.upf
Rb 85.47 Rb.upf
Ag 107.87 Ag.upf
CELL_PARAMETERS angstrom
10.970 -4.720 0.000
10.970 4.720 0.000
-2.600 0.000 7.203
ATOMIC_POSITIONS angstrom
K 7.609 2.403 2.844
K 10.970 2.561 0.000
K 5.355 0.000 6.076
K 11.730 2.403 4.360
K 7.609 -2.403 2.844
K 13.985 0.000 1.127
K 10.970 -2.561 0.000
K 11.730 -2.403 4.360
Rb 3.965 0.000 1.461
Rb 15.375 0.000 5.742
Ag 10.154 0.000 2.259
Ag 9.186 0.000 4.944
! Energy relative to the elements = 23 meV/atom
! Spin magnetization = 0.0 μB per formula unit